BePS2: relaxed, GGA-PBEsol.

## Properties
VASP energy = -16.6 eV for the cell shown
DOS(E_F) = 1.52 states/eV/f.u.
ΔE_f (raw) = 0.485 eV per atom
space group = Fm-3m, No. 225
density = 3257 kg/m³

a b c (Å): 4.218 4.218 4.218
angles (deg): 60.00 60.00 60.00
Atoms (fractional coordinates):
S 0.750 0.750 0.750
S 0.250 0.250 0.250
P 0.500 0.500 0.500
Be 0.000 0.000 0.000